(1)
The following is a PBE calculation of crystalline CoPSe at its relaxed geometry, from Alexandria via LeMat-Bulk.

Spin magnetization: 0.00 μB per formula unit
Formation energy (no corrections): -0.04 eV/atom

a = 4.025 Å, b = 4.025 Å, c = 4.025 Å
α = 60.00°, β = 60.00°, γ = 60.00°
Element x y z (fractional)
Se: 0.500 0.500 0.500
Co: 0.750 0.750 0.750
P: 0.000 0.000 0.000

---

(2)
The following is a PBE calculation of crystalline CoPSe at its relaxed geometry, from Alexandria via LeMat-Bulk.

Spin magnetization: 0.00 μB per formula unit
Formation energy (no corrections): -0.14 eV/atom

a = 3.569 Å, b = 3.569 Å, c = 5.045 Å
α = 90.00°, β = 90.00°, γ = 120.00°
Element x y z (fractional)
P: 0.333 0.667 0.175
Se: 0.667 0.333 0.781
Co: 0.000 0.000 0.044

---

(3)
The following is a PBE calculation of crystalline Co2PSe at its relaxed geometry, from Alexandria via LeMat-Bulk.

Spin magnetization: 0.00 μB per formula unit
Formation energy (no corrections): 0.01 eV/atom

a = 6.727 Å, b = 6.727 Å, c = 6.727 Å
α = 30.52°, β = 30.52°, γ = 30.52°
Element x y z (fractional)
P: 0.549 0.549 0.549
Co: 0.996 0.996 0.996
Co: 0.245 0.245 0.245
Se: 0.710 0.710 0.710